1) A plane-wave DFT calculation with PBE was carried out for a relaxed La12SmHo7 crystal.

Output
SG: R-3, No. 148
DOS at the Fermi energy: 34.543 states/eV/cell

Cell: 9.5448 9.5448 9.5448 Å, 108.23 108.23 108.23°
With the nearest neighbours (Å) after each atom.
Element x y z (fractional)
La 0.0829 0.1959 0.4290  2 La 3.29-3.56, 3 Ho 3.44-3.63
La 0.1127 0.8193 0.2911  2 La 3.29-3.56, 3 Ho 3.35-3.65
La 0.1807 0.7089 0.8873  2 La 3.29-3.56, 3 Ho 3.35-3.65
La 0.1959 0.4290 0.0829  2 La 3.29-3.56, 3 Ho 3.44-3.63
La 0.2911 0.1127 0.8193  2 La 3.29-3.56, 3 Ho 3.35-3.65
La 0.4290 0.0829 0.1959  2 La 3.29-3.56, 3 Ho 3.44-3.63
La 0.5710 0.9171 0.8041  2 La 3.29-3.56, 3 Ho 3.44-3.63
La 0.7089 0.8873 0.1807  2 La 3.29-3.56, 3 Ho 3.35-3.65
La 0.8041 0.5710 0.9171  2 La 3.29-3.56, 3 Ho 3.44-3.63
La 0.8193 0.2911 0.1127  2 La 3.29-3.56, 3 Ho 3.35-3.65
La 0.8873 0.1807 0.7089  2 La 3.29-3.56, 3 Ho 3.35-3.65
La 0.9171 0.8041 0.5710  2 La 3.29-3.56, 3 Ho 3.44-3.63
Sm 0.5000 0.5000 0.5000  6 Ho 3.45, 6 La 3.82
Ho 0.0000 0.0000 0.0000  12 La 3.63-3.76
Ho 0.1857 0.6057 0.5012  6 La 3.35-3.73, 1 Sm 3.45, 3 Ho 3.48-3.66
Ho 0.3943 0.4988 0.8143  6 La 3.35-3.73, 1 Sm 3.45, 3 Ho 3.48-3.66
Ho 0.4988 0.8143 0.3943  6 La 3.35-3.73, 1 Sm 3.45, 3 Ho 3.48-3.66
Ho 0.5012 0.1857 0.6057  6 La 3.35-3.73, 1 Sm 3.45, 3 Ho 3.48-3.66
Ho 0.6057 0.5012 0.1857  6 La 3.35-3.73, 1 Sm 3.45, 3 Ho 3.48-3.66
Ho 0.8143 0.3943 0.4988  6 La 3.35-3.73, 1 Sm 3.45, 3 Ho 3.48-3.66

---

2) A plane-wave DFT calculation with PBE was carried out for a relaxed La12SmHo7 crystal.

Output
SG: R-3m, No. 166
DOS at the Fermi energy: 27.203 states/eV/cell

Cell: 11.5114 11.5114 11.5114 Å, 116.68 116.68 116.68°
With the nearest neighbours (Å) after each atom.
Element x y z (fractional)
La 0.0000 0.4078 0.5922  3 La 3.30-3.61, 2 Ho 3.38
La 0.0000 0.5922 0.4078  3 La 3.30-3.61, 2 Ho 3.38
La 0.0702 0.0702 0.4251  1 La 3.30, 4 Ho 3.35-3.64
La 0.0702 0.4251 0.0702  1 La 3.30, 4 Ho 3.35-3.64
La 0.4078 0.0000 0.5922  3 La 3.30-3.61, 2 Ho 3.38
La 0.4078 0.5922 0.0000  3 La 3.30-3.61, 2 Ho 3.38
La 0.4251 0.0702 0.0702  1 La 3.30, 4 Ho 3.35-3.64
La 0.5749 0.9298 0.9298  1 La 3.30, 4 Ho 3.35-3.64
La 0.5922 0.0000 0.4078  3 La 3.30-3.61, 2 Ho 3.38
La 0.5922 0.4078 0.0000  3 La 3.30-3.61, 2 Ho 3.38
La 0.9298 0.5749 0.9298  1 La 3.30, 4 Ho 3.35-3.64
La 0.9298 0.9298 0.5749  1 La 3.30, 4 Ho 3.35-3.64
Sm 0.5000 0.5000 0.5000  8 Ho 3.08-3.19
Ho 0.0000 0.0000 0.0000  2 Sm 3.19, 6 Ho 3.40
Ho 0.1369 0.3849 0.3849  1 Sm 3.08, 3 La 3.35-3.38, 1 Ho 3.40
Ho 0.3849 0.1369 0.3849  1 Sm 3.08, 3 La 3.35-3.38, 1 Ho 3.40
Ho 0.3849 0.3849 0.1369  1 Sm 3.08, 3 La 3.35-3.38, 1 Ho 3.40
Ho 0.6151 0.6151 0.8631  1 Sm 3.08, 3 La 3.35-3.38, 1 Ho 3.40
Ho 0.6151 0.8631 0.6151  1 Sm 3.08, 3 La 3.35-3.38, 1 Ho 3.40
Ho 0.8631 0.6151 0.6151  1 Sm 3.08, 3 La 3.35-3.38, 1 Ho 3.40

---

Calculated relative energies: 1) 0; 2) 70, given in meV/atom

---

1) A plane-wave DFT calculation with PBE was carried out for a relaxed La2Sm3Ho crystal.

Output
SG: C2/c, No. 15
DOS at the Fermi energy: 18.716 states/eV/cell

Cell: 6.7895 6.7895 9.1875 Å, 97.85 97.85 95.11°
With the nearest neighbours (Å) after each atom.
Element x y z (fractional)
La 0.1225 0.6265 0.8758  2 La 3.54-3.58, 9 Sm 3.76-3.81, 3 Ho 3.77-3.79
La 0.3735 0.8775 0.6242  2 La 3.54-3.58, 9 Sm 3.76-3.81, 3 Ho 3.77-3.79
La 0.6265 0.1225 0.3758  2 La 3.54-3.58, 9 Sm 3.76-3.81, 3 Ho 3.77-3.79
La 0.8775 0.3735 0.1242  2 La 3.54-3.58, 9 Sm 3.76-3.81, 3 Ho 3.77-3.79
Sm 0.1674 0.3339 0.4999  3 Sm 3.34-3.55, 2 Ho 3.35-3.56
Sm 0.3339 0.1674 0.9999  3 Sm 3.34-3.55, 2 Ho 3.35-3.56
Sm 0.4164 0.5836 0.2500  1 Ho 3.34, 4 Sm 3.34-3.55
Sm 0.5836 0.4164 0.7500  1 Ho 3.34, 4 Sm 3.34-3.55
Sm 0.6661 0.8326 0.0001  3 Sm 3.34-3.55, 2 Ho 3.35-3.56
Sm 0.8326 0.6661 0.5001  3 Sm 3.34-3.55, 2 Ho 3.35-3.56
Ho 0.0833 0.9167 0.2500  5 Sm 3.34-3.56
Ho 0.9167 0.0833 0.7500  5 Sm 3.34-3.56

---

2) A plane-wave DFT calculation with PBE was carried out for a relaxed La2Sm3Ho crystal.

Output
SG: Pnnm, No. 58
DOS at the Fermi energy: 22.069 states/eV/cell

Cell: 6.7136 18.2641 3.4461 Å, 90.00 90.00 90.00°
With the nearest neighbours (Å) after each atom.
Element x y z (fractional)
La 0.2284 0.1853 0.0000  4 Sm 3.41-3.55, 2 La 3.45, 1 Ho 3.71
La 0.2716 0.6853 0.5000  4 Sm 3.41-3.55, 2 La 3.45, 1 Ho 3.71
La 0.7284 0.3147 0.5000  4 Sm 3.41-3.55, 2 La 3.45, 1 Ho 3.71
La 0.7716 0.8147 0.0000  4 Sm 3.41-3.55, 2 La 3.45, 1 Ho 3.71
Sm 0.0000 0.5000 0.0000  6 Sm 3.45-3.50, 4 Ho 3.77
Sm 0.2244 0.3550 0.5000  1 Ho 3.23, 4 La 3.41-3.55, 4 Sm 3.45-3.50
Sm 0.2756 0.8550 0.0000  1 Ho 3.23, 4 La 3.41-3.55, 4 Sm 3.45-3.50
Sm 0.5000 0.0000 0.5000  6 Sm 3.45-3.50, 4 Ho 3.77
Sm 0.7244 0.1450 0.0000  1 Ho 3.23, 4 La 3.41-3.55, 4 Sm 3.45-3.50
Sm 0.7756 0.6450 0.5000  1 Ho 3.23, 4 La 3.41-3.55, 4 Sm 3.45-3.50
Ho 0.0000 0.0000 0.0000  2 Sm 3.23, 2 Ho 3.45
Ho 0.5000 0.5000 0.5000  2 Sm 3.23, 2 Ho 3.45

---

Calculated relative energies: 1) 0; 2) 182, given in meV/atom

---

1) A plane-wave DFT calculation with PBE was carried out for a relaxed La2SmHo2 crystal.

Output
SG: I4/mcm, No. 140
DOS at the Fermi energy: 17.076 states/eV/cell

Cell: 8.1897 8.1897 8.1897 Å, 98.78 98.78 134.01°
With the nearest neighbours (Å) after each atom.
Element x y z (fractional)
La 0.1095 0.6095 0.7189  3 Ho 3.03-3.30, 1 La 3.30
La 0.3905 0.1095 0.5000  3 Ho 3.03-3.30, 1 La 3.30
La 0.6095 0.8905 0.5000  3 Ho 3.03-3.30, 1 La 3.30
La 0.8905 0.3905 0.2811  3 Ho 3.03-3.30, 1 La 3.30
Sm 0.2500 0.2500 0.0000  2 Sm 3.20
Sm 0.7500 0.7500 0.0000  2 Sm 3.20
Ho 0.1897 0.3103 0.5000  3 La 3.03-3.30
Ho 0.3103 0.8103 0.1205  3 La 3.03-3.30
Ho 0.6897 0.1897 0.8795  3 La 3.03-3.30
Ho 0.8103 0.6897 0.5000  3 La 3.03-3.30

---

2) A plane-wave DFT calculation with PBE was carried out for a relaxed La2SmHo2 crystal.

Output
SG: C2/c, No. 15
DOS at the Fermi energy: 14.075 states/eV/cell

Cell: 8.2239 8.2239 6.1514 Å, 102.46 102.46 110.64°
With the nearest neighbours (Å) after each atom.
Element x y z (fractional)
La 0.1049 0.2607 0.3705  1 La 3.17, 1 Sm 3.33, 2 Ho 3.39-3.45
La 0.2607 0.1049 0.8705  1 La 3.17, 1 Sm 3.33, 2 Ho 3.39-3.45
La 0.7393 0.8951 0.1295  1 La 3.17, 1 Sm 3.33, 2 Ho 3.39-3.45
La 0.8951 0.7393 0.6295  1 La 3.17, 1 Sm 3.33, 2 Ho 3.39-3.45
Sm 0.4360 0.5640 0.2500  4 La 3.33-3.56, 4 Ho 3.51-3.55, 2 Sm 3.53
Sm 0.5640 0.4360 0.7500  4 La 3.33-3.56, 4 Ho 3.51-3.55, 2 Sm 3.53
Ho 0.1749 0.8251 0.2500  1 Sm 3.53, 2 Ho 3.54, 6 La 3.62-3.78
Ho 0.3048 0.6952 0.7500  4 La 3.39-3.45, 3 Sm 3.51-3.55, 2 Ho 3.54
Ho 0.6952 0.3048 0.2500  4 La 3.39-3.45, 3 Sm 3.51-3.55, 2 Ho 3.54
Ho 0.8251 0.1749 0.7500  1 Sm 3.53, 2 Ho 3.54, 6 La 3.62-3.78

---

Calculated relative energies: 1) 181; 2) 0, given in meV/atom

---

1) A plane-wave DFT calculation with PBE was carried out for a relaxed La2SmHo crystal.

Output
SG: R-3m, No. 166
DOS at the Fermi energy: 5.245 states/eV/cell

Cell: 11.9930 11.9930 11.9930 Å, 17.63 17.63 17.63°
With the nearest neighbours (Å) after each atom.
Element x y z (fractional)
La 0.2489 0.2489 0.2489  3 Ho 3.60, 3 Sm 3.67, 6 La 3.68
La 0.7511 0.7511 0.7511  3 Ho 3.60, 3 Sm 3.67, 6 La 3.68
Sm 0.0000 0.0000 0.0000  6 La 3.67, 6 Sm 3.68
Ho 0.5000 0.5000 0.5000  6 La 3.60, 6 Ho 3.68

---

2) A plane-wave DFT calculation with PBE was carried out for a relaxed La2SmHo crystal.

Output
SG: C2/c, No. 15
DOS at the Fermi energy: 53.595 states/eV/cell

Cell: 12.4927 12.4927 13.0789 Å, 90.16 90.16 146.82°
With the nearest neighbours (Å) after each atom.
Element x y z (fractional)
La 0.0186 0.4800 0.7526  6 La 3.56-3.82, 3 Sm 3.66-3.78, 3 Ho 3.67-3.73
La 0.0192 0.9808 0.7500  6 La 3.57-3.77, 4 Ho 3.66-3.76, 2 Sm 3.71
La 0.2475 0.7498 0.0006  3 Ho 3.54-3.62, 6 La 3.55-3.82, 3 Sm 3.60-3.64
La 0.2492 0.2506 0.9993  3 Ho 3.54-3.63, 6 La 3.57-3.77, 3 Sm 3.59-3.63
La 0.2502 0.7525 0.4994  3 Ho 3.54-3.62, 6 La 3.55-3.82, 3 Sm 3.60-3.64
La 0.2506 0.2492 0.4993  3 Ho 3.54-3.63, 6 La 3.57-3.77, 3 Sm 3.59-3.63
La 0.4800 0.0186 0.2526  6 La 3.56-3.82, 3 Sm 3.66-3.78, 3 Ho 3.67-3.73
La 0.4797 0.5203 0.2500  6 La 3.57-3.77, 4 Sm 3.68-3.73, 2 Ho 3.72
La 0.5203 0.4797 0.7500  6 La 3.57-3.77, 4 Sm 3.68-3.73, 2 Ho 3.72
La 0.5200 0.9814 0.7474  6 La 3.56-3.82, 3 Sm 3.66-3.78, 3 Ho 3.67-3.73
La 0.7494 0.7508 0.5007  3 Ho 3.54-3.63, 6 La 3.57-3.77, 3 Sm 3.59-3.63
La 0.7498 0.2475 0.5006  3 Ho 3.54-3.62, 6 La 3.55-3.82, 3 Sm 3.60-3.64
La 0.7508 0.7494 0.0007  3 Ho 3.54-3.63, 6 La 3.57-3.77, 3 Sm 3.59-3.63
La 0.7525 0.2502 0.9994  3 Ho 3.54-3.62, 6 La 3.55-3.82, 3 Sm 3.60-3.64
La 0.9808 0.0192 0.2500  6 La 3.57-3.77, 4 Ho 3.66-3.76, 2 Sm 3.71
La 0.9814 0.5200 0.2474  6 La 3.56-3.82, 3 Sm 3.66-3.78, 3 Ho 3.67-3.73
Sm 0.1116 0.3822 0.3822  4 Ho 3.52-3.58, 1 Sm 3.58, 6 La 3.60-3.73
Sm 0.3822 0.1116 0.8822  4 Ho 3.52-3.58, 1 Sm 3.58, 6 La 3.60-3.73
Sm 0.3818 0.6113 0.8843  2 Sm 3.51-3.58, 3 Ho 3.51-3.57, 6 La 3.59-3.78
Sm 0.3887 0.6182 0.6157  2 Sm 3.51-3.58, 3 Ho 3.51-3.57, 6 La 3.59-3.78
Sm 0.6113 0.3818 0.3843  2 Sm 3.51-3.58, 3 Ho 3.51-3.57, 6 La 3.59-3.78
Sm 0.6182 0.3887 0.1157  2 Sm 3.51-3.58, 3 Ho 3.51-3.57, 6 La 3.59-3.78
Sm 0.6178 0.8884 0.1178  4 Ho 3.52-3.58, 1 Sm 3.58, 6 La 3.60-3.73
Sm 0.8884 0.6178 0.6178  4 Ho 3.52-3.58, 1 Sm 3.58, 6 La 3.60-3.73
Ho 0.1120 0.8817 0.3842  2 Ho 3.51-3.52, 6 La 3.54-3.73, 3 Sm 3.56-3.57
Ho 0.1165 0.3861 0.1130  4 Sm 3.51-3.58, 1 Ho 3.52, 6 La 3.54-3.76
Ho 0.1183 0.8880 0.1158  2 Ho 3.51-3.52, 6 La 3.54-3.73, 3 Sm 3.56-3.57
Ho 0.3861 0.1165 0.6130  4 Sm 3.51-3.58, 1 Ho 3.52, 6 La 3.54-3.76
Ho 0.6139 0.8835 0.3870  4 Sm 3.51-3.58, 1 Ho 3.52, 6 La 3.54-3.76
Ho 0.8817 0.1120 0.8842  2 Ho 3.51-3.52, 6 La 3.54-3.73, 3 Sm 3.56-3.57
Ho 0.8835 0.6139 0.8870  4 Sm 3.51-3.58, 1 Ho 3.52, 6 La 3.54-3.76
Ho 0.8880 0.1183 0.6158  2 Ho 3.51-3.52, 6 La 3.54-3.73, 3 Sm 3.56-3.57

---

Calculated relative energies: 1) 0; 2) 81, given in meV/atom